A plane-wave DFT calculation with PBE-GGA was carried out for a geometry-optimized La4SmGe2 structure.

a = 5.1398 Å, b = 5.1398 Å, c = 30.5166 Å
α = 90.00°, β = 90.00°, γ = 120.00°
Space group R-3m (No. 166, hexagonal axes)
Symmetry-distinct sites (fractional):
La  0.0000  0.0000  0.1052 x6
La  0.0000  0.0000  0.2971 x6
Sm  0.0000  0.0000  0.5000 x3
Ge  0.0000  0.0000  0.4005 x6

Output
Its density of states at the Fermi level is 27.71 states/eV per cell. As for the distance to the lowest polymorph of the same formula: 97 meV/atom. The value obtained for the total energy is -109.039 eV for the cell shown. As for the formation energy: -0.383 eV/atom.


A plane-wave DFT calculation with PBE-GGA was carried out for a geometry-optimized Tb7Sm12Th structure.

a = 11.453 Å, b = 11.453 Å, c = 11.453 Å
α = 90.00°, β = 90.00°, γ = 90.00°
Space group Im-3m (No. 229)
Symmetry-distinct sites (fractional):
Tb  0.000  0.000  0.500 x6
Tb  0.250  0.250  0.250 x8
Sm  0.000  0.244  0.244 x24
Th  0.000  0.000  0.000 x2

Output
Its density of states at the Fermi level is 54.54 states/eV per cell. As for the distance to the lowest polymorph of the same formula: 475 meV/atom. The value obtained for the total energy is -164.727 eV for the cell shown. As for the formation energy: 0.705 eV/atom.


A plane-wave DFT calculation with PBE-GGA was carried out for a geometry-optimized La4TcO10 structure.

a = 8.718 Å, b = 8.718 Å, c = 5.612 Å
α = 90.00°, β = 90.00°, γ = 90.00°
Space group I4/m (No. 87)
Symmetry-distinct sites (fractional):
La  0.100  0.302  0.000 x8
Tc  0.000  0.000  0.500 x2
O  0.000  0.500  0.250 x4
O  0.092  0.827  0.284 x16

Output
Its density of states at the Fermi level is 19.44 states/eV per cell. The value obtained for the total energy is -232.404 eV for the cell shown.